Entry 1:
First-principles (PBE) data for an optimized crystal structure of AlP2Pt, as listed in Alexandria via LeMat-Bulk.

```
data_AlP2Pt
_chemical_formula_sum 'Al1 P2 Pt1'
_symmetry_space_group_name_H-M 'P 4/m m m'
_symmetry_Int_Tables_number 123
_symmetry_space_group_name_Hall '-P 4 2'
_cell_length_a 4.598
_cell_length_b 4.598
_cell_length_c 2.816
_cell_angle_alpha 90.00
_cell_angle_beta 90.00
_cell_angle_gamma 90.00
loop_
_atom_site_label
_atom_site_type_symbol
_atom_site_fract_x
_atom_site_fract_y
_atom_site_fract_z
_atom_site_occupancy
Al1 Al 0.000 0.000 0.000 1
P1 P 0.000 0.500 0.500 1
Pt1 Pt 0.500 0.500 0.000 1
```

Uncorrected energy ... -5.096 eV per atom
Crystal system ... tetragonal
Formation enthalpy at 0 K ... 0.05 eV per atom

Entry 2:
First-principles (PBE) data for an optimized crystal structure of La11Dy9Sc4, as listed in Alexandria via LeMat-Bulk.

```
data_La11Dy9Sc4
_chemical_formula_sum 'La22 Dy18 Sc8'
_symmetry_space_group_name_H-M 'C m m m'
_symmetry_Int_Tables_number 65
_symmetry_space_group_name_Hall '-C 2 2'
_cell_length_a 17.045
_cell_length_b 25.729
_cell_length_c 3.637
_cell_angle_alpha 90.00
_cell_angle_beta 90.00
_cell_angle_gamma 90.00
loop_
_atom_site_label
_atom_site_type_symbol
_atom_site_fract_x
_atom_site_fract_y
_atom_site_fract_z
_atom_site_occupancy
La1 La 0.000 0.000 0.000 1
La2 La 0.000 0.159 0.000 1
La3 La 0.000 0.371 0.000 1
La4 La 0.201 0.500 0.000 1
La5 La 0.225 0.180 0.000 1
Dy1 Dy 0.000 0.500 0.500 1
Dy2 Dy 0.102 0.269 0.500 1
Dy3 Dy 0.146 0.071 0.500 1
Sc1 Sc 0.157 0.397 0.500 1
```

Uncorrected energy ... -4.969 eV per atom
Crystal system ... orthorhombic
Formation enthalpy at 0 K ... 0.07 eV per atom

Entry 3:
First-principles (PBE) data for an optimized crystal structure of NaAg2BrO, as listed in Alexandria via LeMat-Bulk.

```
data_NaAg2BrO
_chemical_formula_sum 'Na1 Ag2 Br1 O1'
_symmetry_space_group_name_H-M 'P 4/m m m'
_symmetry_Int_Tables_number 123
_symmetry_space_group_name_Hall '-P 4 2'
_cell_length_a 4.401
_cell_length_b 4.401
_cell_length_c 5.129
_cell_angle_alpha 90.00
_cell_angle_beta 90.00
_cell_angle_gamma 90.00
loop_
_atom_site_label
_atom_site_type_symbol
_atom_site_fract_x
_atom_site_fract_y
_atom_site_fract_z
_atom_site_occupancy
Na1 Na 0.000 0.000 0.000 1
Ag1 Ag 0.000 0.500 0.500 1
Br1 Br 0.500 0.500 0.000 1
O1 O 0.000 0.000 0.500 1
```

Uncorrected energy ... -3.313 eV per atom
Polymorph energy (0 for the lowest one) ... 0.0000 eV/atom
Crystal system ... tetragonal
Uncorrected formation energy ... -0.582 eV per atom

Entry 4:
First-principles (PBE) data for an optimized crystal structure of Ca3Ce3TaN8, as listed in Alexandria via LeMat-Bulk.

```
data_Ca3Ce3TaN8
_chemical_formula_sum 'Ca9 Ce9 Ta3 N24'
_symmetry_space_group_name_H-M 'R -3 m'
_symmetry_Int_Tables_number 166
_symmetry_space_group_name_Hall '-R 3 2"'
_cell_length_a 6.9678
_cell_length_b 6.9678
_cell_length_c 16.9596
_cell_angle_alpha 90.00
_cell_angle_beta 90.00
_cell_angle_gamma 120.00
loop_
_atom_site_label
_atom_site_type_symbol
_atom_site_fract_x
_atom_site_fract_y
_atom_site_fract_z
_atom_site_occupancy
Ca1 Ca 0.0000 0.5000 0.0000 1
Ce1 Ce 0.0000 0.5000 0.5000 1
Ta1 Ta 0.0000 0.0000 0.5000 1
N1 N 0.0000 0.0000 0.2415 1
N2 N 0.0344 0.5172 0.2335 1
```

Uncorrected energy ... -7.997 eV per atom
Crystal system ... trigonal
Uncorrected formation energy ... -1.179 eV per atom

Entry 5:
First-principles (PBE) data for an optimized crystal structure of CuAgS2, as listed in Alexandria via LeMat-Bulk.

```
data_CuAgS2
_chemical_formula_sum 'Cu3 Ag3 S6'
_symmetry_space_group_name_H-M 'R -3 m'
_symmetry_Int_Tables_number 166
_symmetry_space_group_name_Hall '-R 3 2"'
_cell_length_a 3.4722
_cell_length_b 3.4722
_cell_length_c 21.9181
_cell_angle_alpha 90.00
_cell_angle_beta 90.00
_cell_angle_gamma 120.00
loop_
_atom_site_label
_atom_site_type_symbol
_atom_site_fract_x
_atom_site_fract_y
_atom_site_fract_z
_atom_site_occupancy
Cu1 Cu 0.0000 0.0000 0.0000 1
Ag1 Ag 0.0000 0.0000 0.5000 1
S1 S 0.0000 0.0000 0.3913 1
```

Uncorrected energy ... -3.741 eV per atom
Crystal system ... trigonal
Uncorrected formation energy ... 0.059 eV per atom

Entry 6:
First-principles (PBE) data for an optimized crystal structure of SrCa2Zn, as listed in Alexandria via LeMat-Bulk.

```
data_SrCa2Zn
_chemical_formula_sum 'Sr3 Ca6 Zn3'
_symmetry_space_group_name_H-M 'R 3 m'
_symmetry_Int_Tables_number 160
_symmetry_space_group_name_Hall 'R 3 -2"'
_cell_length_a 4.0571
_cell_length_b 4.0571
_cell_length_c 32.5018
_cell_angle_alpha 90.00
_cell_angle_beta 90.00
_cell_angle_gamma 120.00
loop_
_atom_site_label
_atom_site_type_symbol
_atom_site_fract_x
_atom_site_fract_y
_atom_site_fract_z
_atom_site_occupancy
Sr1 Sr 0.0000 0.0000 0.0000 1
Ca1 Ca 0.0000 0.0000 0.2286 1
Ca2 Ca 0.0000 0.0000 0.4379 1
Zn1 Zn 0.0000 0.0000 0.8333 1
```

Uncorrected energy ... -1.765 eV per atom
Crystal system ... trigonal
Formation enthalpy at 0 K ... -0.02 eV per atom

Entry 7:
First-principles (PBE) data for an optimized crystal structure of NaCeEuHg, as listed in Alexandria via LeMat-Bulk.

```
data_NaCeEuHg
_chemical_formula_sum 'Na4 Ce4 Eu4 Hg4'
_symmetry_space_group_name_H-M 'F -4 3 m'
_symmetry_Int_Tables_number 216
_symmetry_space_group_name_Hall 'F -4 2 3'
_cell_length_a 7.898
_cell_length_b 7.898
_cell_length_c 7.898
_cell_angle_alpha 90.00
_cell_angle_beta 90.00
_cell_angle_gamma 90.00
loop_
_atom_site_label
_atom_site_type_symbol
_atom_site_fract_x
_atom_site_fract_y
_atom_site_fract_z
_atom_site_occupancy
Na1 Na 0.000 0.000 0.000 1
Ce1 Ce 0.250 0.250 0.750 1
Eu1 Eu 0.250 0.250 0.250 1
Hg1 Hg 0.000 0.000 0.500 1
```

Uncorrected energy ... -4.455 eV per atom
Crystal system ... cubic
Formation enthalpy at 0 K ... 0.00 eV per atom

Entry 8:
First-principles (PBE) data for an optimized crystal structure of SbRh2Pb, as listed in Alexandria via LeMat-Bulk.

```
data_SbRh2Pb
_chemical_formula_sum 'Sb1 Rh2 Pb1'
_symmetry_space_group_name_H-M 'P 1 2/m 1'
_symmetry_Int_Tables_number 10
_cell_length_a 3.273
_cell_length_b 3.282
_cell_length_c 7.465
_cell_angle_alpha 90.00
_cell_angle_beta 100.93
_cell_angle_gamma 90.00
loop_
_symmetry_equiv_pos_as_xyz
'x,y,z'
'-x,-y,-z'
'-x,y,-z'
'x,-y,z'
loop_
_atom_site_label
_atom_site_type_symbol
_atom_site_fract_x
_atom_site_fract_y
_atom_site_fract_z
_atom_site_occupancy
Sb1 Sb 0.000 0.000 0.000 1
Rh1 Rh 0.406 0.500 0.803 1
Pb1 Pb 0.000 0.000 0.500 1
```

Uncorrected energy ... -5.733 eV per atom
Polymorph energy (0 for the lowest one) ... 0.2278 eV/atom
Crystal system ... monoclinic
Uncorrected formation energy ... -0.099 eV per atom